Record 1
The following is a GGA-PBE calculation of a geometry-optimized CsNi2Sb2 structure, from Alexandria.

Calculated values
Crystal system = tetragonal
Electronic total energy = -21.48 eV for the cell shown
Symmetry = No. 123
Energy relative to the elements, uncorrected = -165 meV per atom
M_tot = 0.000 Bohr magnetons per cell

Cell and atoms, written as POSCAR:
```
CsNi2Sb2
1.0
3.783 0.000 0.000
0.000 3.783 0.000
0.000 0.000 8.996
Cs Ni Sb
1 2 2
Direct
0.000 0.000 0.000
0.500 0.000 0.500
0.000 0.500 0.500
0.500 0.500 0.693
0.500 0.500 0.307
```



Record 2
The following is a GGA-PBE calculation of a geometry-optimized Cd12In7Pb structure, from Alexandria.

Calculated values
Crystal system = trigonal
Electronic total energy = -32.27 eV for the cell shown
Symmetry = No. 166
M_tot = 0.000 Bohr magnetons per cell
Calculated formation energy = 8 kJ per mole of atoms

Cell and atoms, written as POSCAR:
```
Cd12In7Pb
1.0
6.790 0.000 -1.876
-3.498 8.028 -3.842
0.205 0.000 9.560
Cd In Pb
12 7 1
Direct
0.271 0.541 0.271
0.000 0.271 0.729
0.614 0.662 0.000
0.386 0.000 0.338
0.271 0.271 0.541
0.048 0.662 0.662
0.952 0.338 0.338
0.729 0.729 0.459
0.614 0.000 0.662
0.386 0.338 0.000
0.000 0.729 0.271
0.729 0.459 0.729
0.192 0.669 0.000
0.808 0.000 0.331
0.477 0.669 0.669
0.500 0.000 0.000
0.523 0.331 0.331
0.192 0.000 0.669
0.808 0.331 0.000
0.000 0.000 0.000
```



Record 3
The following is a GGA-PBE calculation of a geometry-optimized LaRuBr2 structure, from Alexandria.

Calculated values
Crystal system = trigonal
Electronic total energy = -17.79 eV for the cell shown
Symmetry = No. 166
Energy above the lowest structure with this stoichiometry = 0.692 eV per atom
Energy relative to the elements, uncorrected = -61 meV per atom
M_tot = 2.800 Bohr magnetons per cell

Cell and atoms, written as POSCAR:
```
LaRuBr2
1.0
-8.471 1.892 -1.571
-8.739 -1.054 0.578
-8.275 2.255 2.062
Ru Br La
1 2 1
Direct
0.750 0.750 0.750
0.008 0.008 0.008
0.492 0.492 0.492
0.250 0.250 0.250
```



Record 4
The following is a GGA-PBE calculation of a geometry-optimized CsBaHfO4 structure, from Alexandria.

Calculated values
Crystal system = orthorhombic
Electronic total energy = -100.35 eV for the cell shown
Symmetry = No. 63
Energy relative to the elements, uncorrected = -2516 meV per atom
M_tot = 2.032 Bohr magnetons per cell

Cell and atoms, written as POSCAR:
```
CsBaHfO4
1.0
5.944 0.000 0.000
0.000 5.976 0.000
-2.972 0.000 7.285
Cs Ba Hf O
2 2 2 8
Direct
0.589 0.750 0.177
0.411 0.250 0.823
0.113 0.250 0.226
0.887 0.750 0.774
0.244 0.750 0.489
0.756 0.250 0.511
0.900 0.250 0.801
0.386 0.750 0.772
0.100 0.750 0.199
0.614 0.250 0.228
0.500 0.500 0.500
0.000 0.000 0.500
0.500 0.000 0.500
0.000 0.500 0.500
```



Record 5
The following is a GGA-PBE calculation of a geometry-optimized LaMnH3 structure, from Alexandria.

Calculated values
Crystal system = cubic
Electronic total energy = -25.57 eV for the cell shown
Symmetry = No. 221
M_tot = 1.724 Bohr magnetons per cell

Cell and atoms, written as POSCAR:
```
LaMnH3
1.0
-2.577 -2.339 -1.304
-0.466 -1.390 3.415
-2.637 2.531 0.670
H Mn La
3 1 1
Direct
0.000 0.500 0.000
0.000 0.000 0.500
0.500 0.000 0.000
0.000 0.000 0.000
0.500 0.500 0.500
```



Record 6
The following is a GGA-PBE calculation of a geometry-optimized RbNbI2O8 structure, from Alexandria.

Calculated values
Crystal system = monoclinic
Electronic total energy = -66.74 eV for the cell shown
Symmetry = No. 12
Energy relative to the elements, uncorrected = -1078 meV per atom
M_tot = 0.000 Bohr magnetons per cell

Cell and atoms, written as POSCAR:
```
RbNbI2O8
1.0
5.637 0.000 0.000
2.818 5.918 0.656
2.818 2.964 6.556
Rb Nb I O
1 1 2 8
Direct
0.500 0.500 0.500
0.000 0.000 0.000
0.279 0.262 0.180
0.721 0.738 0.820
0.909 0.375 0.807
0.683 0.525 0.108
0.091 0.625 0.193
0.317 0.475 0.892
0.633 0.024 0.196
0.367 0.976 0.804
0.146 0.024 0.196
0.854 0.976 0.804
```



Record 7
The following is a GGA-PBE calculation of a geometry-optimized La6PrHg3 structure, from Alexandria.

Calculated values
Crystal system = monoclinic
Electronic total energy = -74.92 eV for the cell shown
Symmetry = No. 11
M_tot = 0.000 Bohr magnetons per cell
Calculated formation energy = -21 kJ per mole of atoms

Cell and atoms, written as POSCAR:
```
La6PrHg3
1.0
-5.437 1.019 0.794
-2.135 -8.829 -3.283
1.802 -0.371 12.808
La Pr Hg
12 2 6
Direct
0.250 0.115 0.542
0.750 0.885 0.458
0.250 0.275 0.098
0.750 0.725 0.902
0.250 0.584 0.038
0.750 0.416 0.962
0.250 0.812 0.295
0.750 0.188 0.705
0.250 0.378 0.395
0.750 0.622 0.605
0.250 0.909 0.790
0.750 0.091 0.210
0.250 0.494 0.721
0.750 0.506 0.279
0.250 0.255 0.838
0.750 0.745 0.162
0.250 0.734 0.524
0.750 0.266 0.476
0.250 0.928 0.060
0.750 0.072 0.940
```



Record 8
The following is a GGA-PBE calculation of a geometry-optimized CeHo7In4 structure, from Alexandria.

Calculated values
Crystal system = monoclinic
Electronic total energy = -49.93 eV for the cell shown
Symmetry = No. 12
M_tot = 0.842 Bohr magnetons per cell
Calculated formation energy = -8 kJ per mole of atoms

Cell and atoms, written as POSCAR:
```
CeHo7In4
1.0
-2.296 -0.950 5.021
-0.233 -9.103 1.297
5.472 -1.545 5.335
Ce Ho In
1 7 4
Direct
0.000 0.000 0.000
0.791 0.878 0.540
0.209 0.122 0.460
0.066 0.599 0.269
0.934 0.401 0.731
0.272 0.672 0.783
0.500 0.000 0.000
0.728 0.328 0.217
0.560 0.246 0.634
0.440 0.754 0.366
0.679 0.665 0.977
0.321 0.335 0.023
```